A plane-wave DFT calculation with meta-GGA SCAN was carried out for a crystal of RbSiAsBr2 relaxed with PBEsol.

The structure belongs to space group P4/mmm (No. 123); the cell edges are 6.0498, 6.0498 and 6.1344 Å and the angles 90.00°, 90.00° and 90.00°. The distinct sites, in fractional coordinates, are Rb at (0.0000, 0.0000, 0.0000), Si at (0.5000, 0.5000, 0.5000), As at (0.0000, 0.0000, 0.5000) and Br at (0.0000, 0.5000, 0.0000).

The volume comes out at 224.52 Å³ per cell. For the magnetic moment, the calculation gives 0.4061 μB per atom. The energy relative to the elements, uncorrected comes out at 0.835 eV per atom. For the total energy, the calculation gives -0.630 hartree per atom.

---

A plane-wave DFT calculation with meta-GGA SCAN was carried out for a crystal of RbTeAs2Br relaxed with PBEsol.

The structure belongs to space group P4/mmm (No. 123); the cell edges are 6.7995, 6.7995 and 6.2738 Å and the angles 90.00°, 90.00° and 90.00°. The distinct sites, in fractional coordinates, are Rb at (0.0000, 0.0000, 0.0000), Te at (0.5000, 0.5000, 0.5000), As at (0.0000, 0.5000, 0.0000) and Br at (0.0000, 0.0000, 0.5000).

The volume comes out at 290.05 Å³ per cell. For the magnetic moment, the calculation gives 1.6000 μB per atom. The energy relative to the elements, uncorrected comes out at 1.034 eV per atom. For the total energy, the calculation gives -0.828 hartree per atom.

---

A plane-wave DFT calculation with meta-GGA SCAN was carried out for a crystal of RbZrAs2Br relaxed with PBEsol.

The structure belongs to space group P4/mmm (No. 123); the cell edges are 5.2834, 5.2834 and 5.5070 Å and the angles 90.00°, 90.00° and 90.00°. The distinct sites, in fractional coordinates, are Rb at (0.0000, 0.0000, 0.0000), Zr at (0.5000, 0.5000, 0.5000), As at (0.0000, 0.5000, 0.0000) and Br at (0.0000, 0.0000, 0.5000).

The volume comes out at 153.72 Å³ per cell. For the magnetic moment, the calculation gives 0.1632 μB per atom. The energy relative to the elements, uncorrected comes out at 1.230 eV per atom. For the total energy, the calculation gives -0.773 hartree per atom.

---

A plane-wave DFT calculation with meta-GGA SCAN was carried out for a crystal of ReAsBr2 relaxed with PBEsol.

The structure belongs to space group P4/mmm (No. 123); the cell edges are 4.6468, 4.6468 and 3.2706 Å and the angles 90.00°, 90.00° and 90.00°. The distinct sites, in fractional coordinates, are Re at (0.0000, 0.0000, 0.0000), As at (0.5000, 0.5000, 0.0000) and Br at (0.0000, 0.5000, 0.5000).

The volume comes out at 70.62 Å³ per cell. Its energy above the most stable polymorph in this dataset is 4.84 eV/f.u. For the magnetic moment, the calculation gives 0.0000 μB per atom. The energy relative to the elements, uncorrected comes out at 1.562 eV per atom. For the total energy, the calculation gives -1.139 hartree per atom.